A relaxed Ca2TlAu crystal. Source: the Alexandria database, functional PBE.

a b c (Å): 5.3100 5.3100 5.3100
angles (deg): 60.00 60.00 60.00
Fractional positions:
Ca 0.2500 0.2500 0.2500
Ca 0.7500 0.7500 0.7500
Tl 0.0000 0.0000 0.0000
Au 0.5000 0.5000 0.5000

## Properties
As for the space group: No. 225. The energy above the lowest structure with this stoichiometry comes out at 0.10 eV per formula unit. As for the total energy: -2.98 eV/atom. As for the magnetic moment: 0.00 μB/cell.